[1]
This record from Alexandria via LeMat-Bulk describes an optimized crystal structure of TaPtBr3. The functional is PBE.

Geometry as POSCAR:
```
TaPtBr3
1.0
5.120 0.000 0.000
0.000 5.120 0.000
0.000 0.000 5.120
Br Pt Ta
3 1 1
direct
0.000 0.500 0.000
0.000 0.000 0.500
0.500 0.000 0.000
0.000 0.000 0.000
0.500 0.500 0.500
```

Values from the calculation:
Energy relative to the lowest polymorph listed for this composition: 0.373 eV/atom
V: 26.84 A^3/atom
Formation energy without anion corrections: 1.00 eV/atom

---

[2]
This record from Alexandria via LeMat-Bulk describes an optimized crystal structure of In5Ag. The functional is PBE.

Geometry as POSCAR:
```
In5Ag
1.0
1.695 -8.753 0.000
1.695 8.753 0.000
0.000 0.000 5.144
In Ag
5 1
direct
0.782 0.218 0.500
0.455 0.545 0.500
0.647 0.353 0.000
0.112 0.888 0.500
0.343 0.657 0.000
0.994 0.006 0.000
```

Values from the calculation:
Energy relative to the lowest polymorph listed for this composition: 0.020 eV/atom
Formation energy from the elements: 32 meV per atom
V: 25.45 A^3/atom

---

[3]
This record from Alexandria via LeMat-Bulk describes an optimized crystal structure of CrIn2Sb. The functional is PBE.

Geometry as POSCAR:
```
CrIn2Sb
1.0
7.075 0.012 -0.008
4.773 5.222 0.008
-5.465 -3.656 2.612
Sb Cr In
1 1 2
direct
0.434 0.434 0.000
0.255 0.755 0.500
0.747 0.247 0.500
0.063 0.063 0.000
```

Values from the calculation:
V: 24.12 A^3/atom
Formation energy without anion corrections: 0.22 eV/atom

---

[4]
This record from Alexandria via LeMat-Bulk describes an optimized crystal structure of RbAl6Ge4. The functional is PBE.

Geometry as POSCAR:
```
RbAl6Ge4
1.0
4.232 0.000 -0.617
-0.090 4.232 -0.617
-0.097 -0.099 14.156
Ge Al Rb
4 6 1
direct
0.807 0.807 0.614
0.579 0.579 0.159
0.421 0.421 0.841
0.193 0.193 0.386
0.367 0.867 0.735
0.133 0.633 0.265
0.750 0.250 0.500
0.633 0.133 0.265
0.250 0.750 0.500
0.867 0.367 0.735
0.000 0.000 0.000
```

Values from the calculation:
Formation energy from the elements: 28 meV per atom
V: 23.00 A^3/atom

---

no.,magnetic moment (Bohr magnetons per cell)
1,3.5
2,0.0
3,3.1
4,0.0